1.
Entry from the Open Quantum Materials Database: ZrScOs2 after structural relaxation (GGA-PBE).

The crystal system is cubic. Its energy above the most stable polymorph in this dataset is 0.0000 eV per atom. Its formation energy is -477.9 meV/atom.

The structure belongs to space group Fm-3m (No. 225); the cell edges are 6.4880, 6.4880 and 6.4880 Å and the angles 90.00°, 90.00° and 90.00°. The inequivalent atoms are Zr at (0.0000, 0.0000, 0.0000), Sc at (0.0000, 0.0000, 0.5000) and Os at (0.2500, 0.2500, 0.2500).

2.
Entry from the Open Quantum Materials Database: ZrScOs2 after structural relaxation (GGA-PBE).

The crystal system is orthorhombic. Its energy above the most stable polymorph in this dataset is 0.0321 eV per atom. Its formation energy is -445.8 meV/atom.

The structure belongs to space group Cmmm (No. 65); the cell edges are 6.2366, 6.5488 and 3.2865 Å and the angles 90.00°, 90.00° and 90.00°. The inequivalent atoms are Zr at (0.0000, 0.0000, 0.0000), Sc at (0.0000, 0.5000, 0.0000) and Os at (0.2500, 0.2500, 0.5000).